(1)
# NdCd2Cu

Crystalline NdCd2Cu at its relaxed geometry (PBE, the Alexandria database).

The structure in CIF format:
```
data_NdCd2Cu
_cell_length_a 3.247
_cell_length_b 3.247
_cell_length_c 10.743
_cell_angle_alpha 81.31
_cell_angle_beta 81.31
_cell_angle_gamma 60.00
_symmetry_space_group_name_H-M 'P 1'
_symmetry_Int_Tables_number 1
loop_
_symmetry_equiv_pos_as_xyz
'x,y,z'
loop_
_atom_site_label
_atom_site_type_symbol
_atom_site_fract_x
_atom_site_fract_y
_atom_site_fract_z
Nd1 Nd 0.000 0.000 0.000
Cu1 Cu 0.500 0.500 0.500
Cd1 Cd 0.102 0.102 0.693
Cd2 Cd 0.898 0.898 0.307
```

## Properties
N(E_F) (states/eV/atom): 0.6065
Space group: R-3m, No. 166
Energy relative to the elements (meV/atom): 285.3

***

(2)
# NdCdCu

Crystalline NdCdCu at its relaxed geometry (PBE, the Alexandria database).

The structure in CIF format:
```
data_NdCdCu
_cell_length_a 3.459
_cell_length_b 3.459
_cell_length_c 6.154
_cell_angle_alpha 106.32
_cell_angle_beta 106.32
_cell_angle_gamma 90.00
_symmetry_space_group_name_H-M 'P 1'
_symmetry_Int_Tables_number 1
loop_
_symmetry_equiv_pos_as_xyz
'x,y,z'
loop_
_atom_site_label
_atom_site_type_symbol
_atom_site_fract_x
_atom_site_fract_y
_atom_site_fract_z
Nd1 Nd 0.988 0.988 0.976
Cu1 Cu 0.317 0.317 0.635
Cd1 Cd 0.695 0.695 0.389
```

## Properties
N(E_F) (states/eV/atom): 1.0467
Space group: I4mm, No. 107
Energy relative to the elements (meV/atom): -113.2

***

(3)
# Nd7Cd2Cu2

Crystalline Nd7Cd2Cu2 at its relaxed geometry (PBE, the Alexandria database).

The structure in CIF format:
```
data_Nd7Cd2Cu2
_cell_length_a 7.007
_cell_length_b 7.362
_cell_length_c 7.007
_cell_angle_alpha 89.99
_cell_angle_beta 109.59
_cell_angle_gamma 90.01
_symmetry_space_group_name_H-M 'P 1'
_symmetry_Int_Tables_number 1
loop_
_symmetry_equiv_pos_as_xyz
'x,y,z'
loop_
_atom_site_label
_atom_site_type_symbol
_atom_site_fract_x
_atom_site_fract_y
_atom_site_fract_z
Nd1 Nd 0.000 0.260 0.500
Nd2 Nd 0.500 0.740 0.000
Nd3 Nd 0.000 0.740 0.500
Nd4 Nd 0.500 0.260 0.000
Nd5 Nd 0.000 0.000 0.000
Nd6 Nd 0.500 0.756 0.500
Nd7 Nd 0.500 0.244 0.500
Cd1 Cd 0.829 0.500 0.829
Cd2 Cd 0.171 0.500 0.171
Cu1 Cu 0.705 0.000 0.295
Cu2 Cu 0.295 0.000 0.705
```

## Properties
N(E_F) (states/eV/atom): 1.3188
Space group: Cmmm, No. 65
Energy relative to the elements (meV/atom): 9.2

***

(4)
# NdCd2Cu

Crystalline NdCd2Cu at its relaxed geometry (PBE, the Alexandria database).

The structure in CIF format:
```
data_NdCd2Cu
_cell_length_a 3.363
_cell_length_b 3.363
_cell_length_c 7.781
_cell_angle_alpha 90.00
_cell_angle_beta 90.00
_cell_angle_gamma 90.00
_symmetry_space_group_name_H-M 'P 1'
_symmetry_Int_Tables_number 1
loop_
_symmetry_equiv_pos_as_xyz
'x,y,z'
loop_
_atom_site_label
_atom_site_type_symbol
_atom_site_fract_x
_atom_site_fract_y
_atom_site_fract_z
Nd1 Nd 0.500 0.500 0.500
Cu1 Cu 0.500 0.500 0.000
Cd1 Cd 0.000 0.000 0.805
Cd2 Cd 0.000 0.000 0.195
```

## Properties
N(E_F) (states/eV/atom): 0.7245
Space group: P4/mmm, No. 123
Energy relative to the elements (meV/atom): -101.1

***

(5)
# Nd3Cd4Cu2

Crystalline Nd3Cd4Cu2 at its relaxed geometry (PBE, the Alexandria database).

The structure in CIF format:
```
data_Nd3Cd4Cu2
_cell_length_a 4.834
_cell_length_b 6.099
_cell_length_c 8.432
_cell_angle_alpha 75.22
_cell_angle_beta 73.34
_cell_angle_gamma 66.65
_symmetry_space_group_name_H-M 'P 1'
_symmetry_Int_Tables_number 1
loop_
_symmetry_equiv_pos_as_xyz
'x,y,z'
loop_
_atom_site_label
_atom_site_type_symbol
_atom_site_fract_x
_atom_site_fract_y
_atom_site_fract_z
Nd1 Nd 0.323 0.706 0.648
Nd2 Nd 0.000 0.000 0.000
Nd3 Nd 0.677 0.294 0.352
Cd1 Cd 0.284 0.372 0.059
Cd2 Cd 0.716 0.628 0.941
Cd3 Cd 0.034 0.296 0.635
Cd4 Cd 0.966 0.704 0.365
Cu1 Cu 0.410 0.919 0.261
Cu2 Cu 0.590 0.081 0.739
```

## Properties
N(E_F) (states/eV/atom): 0.7213
Space group: C2/m, No. 12
Energy relative to the elements (meV/atom): -241.3

***

(6)
# Nd2CdCu3

Crystalline Nd2CdCu3 at its relaxed geometry (PBE, the Alexandria database).

The structure in CIF format:
```
data_Nd2CdCu3
_cell_length_a 3.994
_cell_length_b 3.988
_cell_length_c 8.830
_cell_angle_alpha 103.05
_cell_angle_beta 103.07
_cell_angle_gamma 90.00
_symmetry_space_group_name_H-M 'P 1'
_symmetry_Int_Tables_number 1
loop_
_symmetry_equiv_pos_as_xyz
'x,y,z'
loop_
_atom_site_label
_atom_site_type_symbol
_atom_site_fract_x
_atom_site_fract_y
_atom_site_fract_z
Nd1 Nd 0.132 0.132 0.264
Nd2 Nd 0.854 0.354 0.708
Cd1 Cd 0.458 0.958 0.916
Cu1 Cu 0.706 0.706 0.412
Cu2 Cu 0.559 0.559 0.119
Cu3 Cu 0.290 0.790 0.580
```

## Properties
N(E_F) (states/eV/atom): 0.4781
Space group: Imm2, No. 44
Energy relative to the lowest polymorph listed for this composition (kJ/mol of formula units): 0
Energy relative to the elements (meV/atom): -184.6

***

(7)
# NdCdCu

Crystalline NdCdCu at its relaxed geometry (PBE, the Alexandria database).

The structure in CIF format:
```
data_NdCdCu
_cell_length_a 3.509
_cell_length_b 4.754
_cell_length_c 4.754
_cell_angle_alpha 120.00
_cell_angle_beta 90.00
_cell_angle_gamma 90.00
_symmetry_space_group_name_H-M 'P 1'
_symmetry_Int_Tables_number 1
loop_
_symmetry_equiv_pos_as_xyz
'x,y,z'
loop_
_atom_site_label
_atom_site_type_symbol
_atom_site_fract_x
_atom_site_fract_y
_atom_site_fract_z
Nd1 Nd 0.667 0.667 0.333
Cu1 Cu 0.167 0.000 0.000
Cd1 Cd 0.166 0.333 0.667
```

## Properties
N(E_F) (states/eV/atom): 0.4849
Space group: P-6m2, No. 187
Energy relative to the elements (meV/atom): -208.1

***

(8)
# NdCd9Cu2

Crystalline NdCd9Cu2 at its relaxed geometry (PBE, the Alexandria database).

The structure in CIF format:
```
data_NdCd9Cu2
_cell_length_a 7.413
_cell_length_b 9.067
_cell_length_c 9.067
_cell_angle_alpha 80.38
_cell_angle_beta 65.87
_cell_angle_gamma 65.87
_symmetry_space_group_name_H-M 'P 1'
_symmetry_Int_Tables_number 1
loop_
_symmetry_equiv_pos_as_xyz
'x,y,z'
loop_
_atom_site_label
_atom_site_type_symbol
_atom_site_fract_x
_atom_site_fract_y
_atom_site_fract_z
Nd1 Nd 0.500 0.000 0.000
Nd2 Nd 0.250 0.500 0.500
Cd1 Cd 0.750 0.500 0.500
Cd2 Cd 0.000 0.000 0.000
Cd3 Cd 0.003 0.923 0.681
Cd4 Cd 0.608 0.077 0.319
Cd5 Cd 0.676 0.181 0.577
Cd6 Cd 0.435 0.819 0.423
Cd7 Cd 0.747 0.819 0.577
Cd8 Cd 0.142 0.181 0.423
Cd9 Cd 0.074 0.923 0.319
Cd10 Cd 0.315 0.077 0.681
Cd11 Cd 0.747 0.577 0.819
Cd12 Cd 0.142 0.423 0.181
Cd13 Cd 0.074 0.319 0.923
Cd14 Cd 0.315 0.681 0.077
Cd15 Cd 0.003 0.681 0.923
Cd16 Cd 0.608 0.319 0.077
Cd17 Cd 0.676 0.577 0.181
Cd18 Cd 0.435 0.423 0.819
Cu1 Cu 0.875 0.250 0.750
Cu2 Cu 0.875 0.750 0.250
Cu3 Cu 0.875 0.250 0.250
Cu4 Cu 0.375 0.750 0.750
```

## Properties
N(E_F) (states/eV/atom): 0.2251
Space group: I4_1/amd, No. 141
Energy relative to the elements (meV/atom): -113.5

***

(9)
# Nd3Cd2Cu

Crystalline Nd3Cd2Cu at its relaxed geometry (PBE, the Alexandria database).

The structure in CIF format:
```
data_Nd3Cd2Cu
_cell_length_a 5.282
_cell_length_b 8.371
_cell_length_c 7.696
_cell_angle_alpha 90.00
_cell_angle_beta 90.00
_cell_angle_gamma 71.61
_symmetry_space_group_name_H-M 'P 1'
_symmetry_Int_Tables_number 1
loop_
_symmetry_equiv_pos_as_xyz
'x,y,z'
loop_
_atom_site_label
_atom_site_type_symbol
_atom_site_fract_x
_atom_site_fract_y
_atom_site_fract_z
Nd1 Nd 0.828 0.345 0.769
Nd2 Nd 0.500 0.000 0.240
Nd3 Nd 0.172 0.655 0.231
Nd4 Nd 0.828 0.345 0.231
Nd5 Nd 0.172 0.655 0.769
Nd6 Nd 0.500 0.000 0.760
Cd1 Cd 0.000 0.000 0.000
Cd2 Cd 0.000 0.000 0.500
Cd3 Cd 0.334 0.331 0.500
Cd4 Cd 0.666 0.669 0.500
Cu1 Cu 0.343 0.313 0.000
Cu2 Cu 0.657 0.687 0.000
```

## Properties
N(E_F) (states/eV/atom): 1.1841
Space group: Cmmm, No. 65
Energy relative to the elements (meV/atom): -239.1

***

(10)
# NdCdCu

Crystalline NdCdCu at its relaxed geometry (PBE, the Alexandria database).

The structure in CIF format:
```
data_NdCdCu
_cell_length_a 4.737
_cell_length_b 4.737
_cell_length_c 4.737
_cell_angle_alpha 60.00
_cell_angle_beta 60.00
_cell_angle_gamma 60.00
_symmetry_space_group_name_H-M 'P 1'
_symmetry_Int_Tables_number 1
loop_
_symmetry_equiv_pos_as_xyz
'x,y,z'
loop_
_atom_site_label
_atom_site_type_symbol
_atom_site_fract_x
_atom_site_fract_y
_atom_site_fract_z
Nd1 Nd 0.000 0.000 0.000
Cu1 Cu 0.250 0.250 0.250
Cd1 Cd 0.500 0.500 0.500
```

## Properties
N(E_F) (states/eV/atom): 1.2808
Space group: F-43m, No. 216
Energy relative to the elements (meV/atom): -135.0

***

Please write out number 8 again, unchanged.
# NdCd9Cu2

Crystalline NdCd9Cu2 at its relaxed geometry (PBE, the Alexandria database).

The structure in CIF format:
```
data_NdCd9Cu2
_cell_length_a 7.413
_cell_length_b 9.067
_cell_length_c 9.067
_cell_angle_alpha 80.38
_cell_angle_beta 65.87
_cell_angle_gamma 65.87
_symmetry_space_group_name_H-M 'P 1'
_symmetry_Int_Tables_number 1
loop_
_symmetry_equiv_pos_as_xyz
'x,y,z'
loop_
_atom_site_label
_atom_site_type_symbol
_atom_site_fract_x
_atom_site_fract_y
_atom_site_fract_z
Nd1 Nd 0.500 0.000 0.000
Nd2 Nd 0.250 0.500 0.500
Cd1 Cd 0.750 0.500 0.500
Cd2 Cd 0.000 0.000 0.000
Cd3 Cd 0.003 0.923 0.681
Cd4 Cd 0.608 0.077 0.319
Cd5 Cd 0.676 0.181 0.577
Cd6 Cd 0.435 0.819 0.423
Cd7 Cd 0.747 0.819 0.577
Cd8 Cd 0.142 0.181 0.423
Cd9 Cd 0.074 0.923 0.319
Cd10 Cd 0.315 0.077 0.681
Cd11 Cd 0.747 0.577 0.819
Cd12 Cd 0.142 0.423 0.181
Cd13 Cd 0.074 0.319 0.923
Cd14 Cd 0.315 0.681 0.077
Cd15 Cd 0.003 0.681 0.923
Cd16 Cd 0.608 0.319 0.077
Cd17 Cd 0.676 0.577 0.181
Cd18 Cd 0.435 0.423 0.819
Cu1 Cu 0.875 0.250 0.750
Cu2 Cu 0.875 0.750 0.250
Cu3 Cu 0.875 0.250 0.250
Cu4 Cu 0.375 0.750 0.750
```

## Properties
N(E_F) (states/eV/atom): 0.2251
Space group: I4_1/amd, No. 141
Energy relative to the elements (meV/atom): -113.5

***

The lowest N(E_F) belongs to which entry? NdCd9Cu2

***

What did the eighth record say?
# NdCd9Cu2

Crystalline NdCd9Cu2 at its relaxed geometry (PBE, the Alexandria database).

The structure in CIF format:
```
data_NdCd9Cu2
_cell_length_a 7.413
_cell_length_b 9.067
_cell_length_c 9.067
_cell_angle_alpha 80.38
_cell_angle_beta 65.87
_cell_angle_gamma 65.87
_symmetry_space_group_name_H-M 'P 1'
_symmetry_Int_Tables_number 1
loop_
_symmetry_equiv_pos_as_xyz
'x,y,z'
loop_
_atom_site_label
_atom_site_type_symbol
_atom_site_fract_x
_atom_site_fract_y
_atom_site_fract_z
Nd1 Nd 0.500 0.000 0.000
Nd2 Nd 0.250 0.500 0.500
Cd1 Cd 0.750 0.500 0.500
Cd2 Cd 0.000 0.000 0.000
Cd3 Cd 0.003 0.923 0.681
Cd4 Cd 0.608 0.077 0.319
Cd5 Cd 0.676 0.181 0.577
Cd6 Cd 0.435 0.819 0.423
Cd7 Cd 0.747 0.819 0.577
Cd8 Cd 0.142 0.181 0.423
Cd9 Cd 0.074 0.923 0.319
Cd10 Cd 0.315 0.077 0.681
Cd11 Cd 0.747 0.577 0.819
Cd12 Cd 0.142 0.423 0.181
Cd13 Cd 0.074 0.319 0.923
Cd14 Cd 0.315 0.681 0.077
Cd15 Cd 0.003 0.681 0.923
Cd16 Cd 0.608 0.319 0.077
Cd17 Cd 0.676 0.577 0.181
Cd18 Cd 0.435 0.423 0.819
Cu1 Cu 0.875 0.250 0.750
Cu2 Cu 0.875 0.750 0.250
Cu3 Cu 0.875 0.250 0.250
Cu4 Cu 0.375 0.750 0.750
```

## Properties
N(E_F) (states/eV/atom): 0.2251
Space group: I4_1/amd, No. 141
Energy relative to the elements (meV/atom): -113.5